MnBiO after structural relaxation. Source: the Alexandria database, functional PBE with a Hubbard U.

a = 3.536 Å, b = 3.536 Å, c = 11.822 Å
α = 104.29°, β = 104.29°, γ = 61.41°
Sites, in units of the cell vectors:
Bi: 0.253 0.253 0.615
Bi: 0.747 0.747 0.385
O: 0.776 0.776 0.902
O: 0.224 0.224 0.098
Mn: 0.111 0.111 0.896
Mn: 0.889 0.889 0.104

Results
Raw total energy ... -6.32 eV/atom
Space group ... C2/m, No. 12
N(E_F) ... 0.81 states/eV/f.u.